Record 1
A relaxed NbFeW3 crystal. Source: the Alexandria database, functional PBE.

```
data_NbFeW3
_cell_length_a 4.708
_cell_length_b 4.708
_cell_length_c 4.708
_cell_angle_alpha 90.00
_cell_angle_beta 90.00
_cell_angle_gamma 90.00
_symmetry_space_group_name_H-M 'P m -3 m'
_symmetry_Int_Tables_number 221
_symmetry_space_group_name_Hall '-P 4 2 3'
loop_
_atom_site_label
_atom_site_fract_x
_atom_site_fract_y
_atom_site_fract_z
Nb1 0.000 0.000 0.000
Fe1 0.500 0.500 0.500
W1 0.000 0.000 0.500
```

## Properties
energy of formation from the pure elements: 2.714 eV/atom


Record 2
A relaxed Pa6AlTe12 crystal. Source: the Alexandria database, functional PBE.

```
data_Pa6AlTe12
_cell_length_a 13.5217
_cell_length_b 13.5217
_cell_length_c 12.0205
_cell_angle_alpha 90.00
_cell_angle_beta 90.00
_cell_angle_gamma 120.00
_symmetry_space_group_name_H-M 'R -3'
_symmetry_Int_Tables_number 148
_symmetry_space_group_name_Hall '-R 3'
loop_
_atom_site_label
_atom_site_fract_x
_atom_site_fract_y
_atom_site_fract_z
Pa1 0.0512 0.2797 0.1427
Al1 0.0000 0.0000 0.5000
Te1 0.0338 0.2077 0.8853
Te2 0.0570 0.2016 0.3853
```

## Properties
ΔE_f (raw): -0.6678 eV/atom